VASP calculation (PBE) on CdPb2Br after structural relaxation.

Computed properties:
ρ ... 8.4 g/cm³
Crystal system ... tetragonal
Symmetry ... P4/mmm
Size of the total moment ... 0.00 μB per formula unit
Total DFT energy (no corrections) ... -2.531 eV/atom
Energy above the lowest structure with this stoichiometry ... 0.151 eV/atom
Formation energy (no corrections) ... -0.03 eV/atom

The structure in extended XYZ format:
```
4
Lattice="-3.242 -3.983 1.550 3.145 -1.273 3.307 -2.088 2.907 3.105" Properties=species:S:1:pos:R:3 pbc="T T T"
Br -0.048 -2.628 2.428
Pb 0.529 0.817 3.206
Pb 0.000 0.000 0.000
Cd -2.665 -0.538 2.327
```

=====

VASP calculation (PBE) on PmNdF after structural relaxation.

Computed properties:
ρ ... 6.9 g/cm³
Crystal system ... trigonal
Symmetry ... P3m1
Size of the total moment ... 0.00 μB per formula unit
Total DFT energy (no corrections) ... -5.347 eV/atom
Formation energy (no corrections) ... -1.55 eV/atom

The structure in extended XYZ format:
```
3
Lattice="-3.128 -2.225 0.467 2.693 0.156 2.770 -2.772 4.410 2.446" Properties=species:S:1:pos:R:3 pbc="T T T"
Nd -2.348 0.415 2.259
Pm -2.525 4.018 2.228
F -1.105 2.318 3.642
```

=====

VASP calculation (PBE) on Dy6Bi3H after structural relaxation.

Computed properties:
ρ ... 10.2 g/cm³
Crystal system ... orthorhombic
Symmetry ... Cmc2_1
Size of the total moment ... 0.00 μB per formula unit
Total DFT energy (no corrections) ... -4.808 eV/atom

The structure in extended XYZ format:
```
20
Lattice="-3.712 2.271 2.497 3.227 -4.399 8.798 5.306 8.887 -0.194" Properties=species:S:1:pos:R:3 pbc="T T T"
Bi 1.046 2.368 0.951
Bi 3.879 3.851 3.848
Dy 2.337 7.013 3.729
Dy 0.568 4.000 3.809
Dy 0.954 -1.916 9.758
Dy 2.105 0.827 3.940
Bi 4.491 3.953 9.669
H 1.476 -0.302 8.398
Dy 3.168 -0.672 6.913
Bi -1.208 0.956 3.923
Dy -0.108 -0.363 6.773
H 4.547 6.327 1.895
Bi 6.745 5.365 6.696
Dy 4.577 8.241 0.866
Bi 1.632 2.487 6.789
Dy 5.634 6.691 3.853
Dy 2.796 5.198 0.992
Dy 2.730 1.129 9.634
Dy 3.422 5.500 6.687
Dy 4.959 2.328 6.817
```

=====

VASP calculation (PBE) on LiCrP after structural relaxation.

Computed properties:
ρ ... 3.6 g/cm³
Crystal system ... orthorhombic
Symmetry ... Fmm2
Size of the total moment ... 0.09 μB per formula unit
Total DFT energy (no corrections) ... -6.055 eV/atom
Formation enthalpy at 0 K ... -0.406 eV per atom

The structure in extended XYZ format:
```
24
Lattice="4.993 0.000 0.000 0.000 13.055 0.000 0.000 0.000 5.056" Properties=species:S:1:pos:R:3 pbc="T T T"
Cr 1.130 6.527 4.802
Li 2.497 2.295 3.564
P 0.000 11.434 3.619
Cr 1.130 0.000 2.274
P 0.000 1.621 3.619
P 2.497 11.434 1.091
Cr 3.863 6.527 4.802
Cr 3.627 6.527 2.274
P 2.497 1.621 1.091
Li 0.000 2.295 1.036
P 2.497 4.906 3.619
Cr 3.863 0.000 2.274
Li 0.000 8.823 3.564
Li 2.497 10.760 3.564
Li 0.000 10.760 1.036
Cr 1.367 0.000 4.802
Cr 1.367 6.527 2.274
Li 0.000 4.232 3.564
Li 2.497 4.232 1.036
P 0.000 8.148 1.091
Li 2.497 8.823 1.036
P 0.000 4.906 1.091
Cr 3.627 0.000 4.802
P 2.497 8.148 3.619
```

=====

VASP calculation (PBE) on TaTl2W after structural relaxation.

Computed properties:
ρ ... 16.0 g/cm³
Crystal system ... monoclinic
Symmetry ... C2/m
Size of the total moment ... 0.00 μB per formula unit
Total DFT energy (no corrections) ... -6.545 eV/atom
Energy above the lowest structure with this stoichiometry ... 0.325 eV/atom
Formation enthalpy at 0 K ... 0.840 eV per atom

The structure in extended XYZ format:
```
4
Lattice="5.212 -0.042 0.061 4.213 3.069 0.061 0.931 0.299 4.962" Properties=species:S:1:pos:R:3 pbc="T T T"
W 7.768 2.495 3.813
Tl 0.953 0.306 4.945
Ta 2.589 0.832 1.271
Tl 5.157 1.656 2.559
```

=====

VASP calculation (PBE) on Sr2MoCl after structural relaxation.

Computed properties:
ρ ... 4.4 g/cm³
Crystal system ... orthorhombic
Symmetry ... Imm2
Size of the total moment ... 0.91 μB per formula unit
Total DFT energy (no corrections) ... -4.007 eV/atom
Energy above the lowest structure with this stoichiometry ... 0.101 eV/atom
Formation energy (no corrections) ... 0.00 eV/atom

The structure in extended XYZ format:
```
4
Lattice="-4.121 7.046 -4.939 -4.352 3.042 -7.926 2.037 -5.486 7.535" Properties=species:S:1:pos:R:3 pbc="T T T"
Sr -8.011 9.539 -12.164
Mo -3.782 1.903 -4.180
Cl -4.652 5.539 -7.063
Sr -2.700 2.754 -1.219
```

=====

VASP calculation (PBE) on PuNb4Se8 after structural relaxation.

Computed properties:
ρ ... 6.5 g/cm³
Crystal system ... cubic
Symmetry ... F-43m
Size of the total moment ... 5.86 μB per formula unit
Total DFT energy (no corrections) ... -7.173 eV/atom
Formation energy (no corrections) ... -0.83 eV/atom

The structure in extended XYZ format:
```
13
Lattice="-1.423 2.227 7.186 0.822 -4.956 5.777 5.770 0.829 4.964" Properties=species:S:1:pos:R:3 pbc="T T T"
Nb 5.227 -0.180 9.248
Se 3.126 -1.149 10.842
Nb 2.307 -3.595 9.728
Se 3.655 0.213 4.736
Se 3.722 -2.083 7.830
Nb 0.982 0.644 10.559
Nb 1.822 -0.670 6.318
Se 0.610 -0.224 2.116
Se -0.141 0.951 5.909
Se 2.782 0.928 8.420
Se 0.708 -1.497 8.761
Se 1.044 -2.840 5.165
Pu 3.877 -1.425 13.445
```

=====

VASP calculation (PBE) on TaSb2TeRu after structural relaxation.

Computed properties:
ρ ... 8.3 g/cm³
Crystal system ... tetragonal
Symmetry ... P4/mmm
Size of the total moment ... 0.00 μB per formula unit
Total DFT energy (no corrections) ... -5.388 eV/atom
Energy above the lowest structure with this stoichiometry ... 0.000 eV/atom
Formation energy (no corrections) ... 1.12 eV/atom

The structure in extended XYZ format:
```
5
Lattice="4.969 0.000 0.000 0.000 4.969 0.000 0.000 0.000 5.282" Properties=species:S:1:pos:R:3 pbc="T T T"
Ru 0.000 0.000 0.000
Te 0.000 0.000 2.641
Sb 0.000 2.485 0.000
Sb 2.485 0.000 0.000
Ta 2.485 2.485 2.641
```

=====

VASP calculation (PBE) on Na2ZnCd2Ag5 after structural relaxation.

Computed properties:
ρ ... 6.8 g/cm³
Crystal system ... tetragonal
Symmetry ... P4/mbm
Size of the total moment ... 0.00 μB per formula unit
Total DFT energy (no corrections) ... -2.012 eV/atom
Formation enthalpy at 0 K ... -0.012 eV per atom

The structure in extended XYZ format:
```
20
Lattice="-1.436 -2.185 1.793 7.998 1.540 8.282 -6.579 8.275 4.814" Properties=species:S:1:pos:R:3 pbc="T T T"
Cd -0.525 8.096 9.444
Ag 0.772 2.260 6.175
Cd 4.508 4.294 8.843
Ag -1.763 3.949 6.203
Zn 0.000 0.000 0.000
Ag -0.789 5.370 8.714
Ag 0.386 -0.408 2.614
Ag 1.746 3.682 8.687
Na -0.829 3.001 2.992
Ag 3.281 -0.322 5.038
Zn 0.709 4.908 6.548
Ag -0.403 8.039 12.275
Na 2.248 6.814 10.104
Na -2.820 7.389 6.745
Na 4.238 2.426 6.352
Cd 1.944 1.719 3.652
Ag -5.726 5.780 5.260
Ag 5.709 1.850 9.630
Ag -4.008 3.045 3.304
Cd -3.089 5.521 4.253
```

=====

VASP calculation (PBE) on PmSbHPd after structural relaxation.

Computed properties:
ρ ... 8.3 g/cm³
Crystal system ... cubic
Symmetry ... F-43m
Size of the total moment ... 0.00 μB per formula unit
Total DFT energy (no corrections) ... -4.864 eV/atom

The structure in extended XYZ format:
```
4
Lattice="-1.843 1.938 -3.903 -4.687 0.501 -0.405 -1.943 4.309 0.190" Properties=species:S:1:pos:R:3 pbc="T T T"
Pd -6.355 5.062 -3.088
Sb -4.237 3.374 -2.059
H -2.118 1.687 -1.029
Pm 0.000 0.000 0.000
```

=====

VASP calculation (PBE) on PmAlGaRh after structural relaxation.

Computed properties:
ρ ... 7.6 g/cm³
Crystal system ... cubic
Symmetry ... F-43m
Size of the total moment ... 0.00 μB per formula unit
Total DFT energy (no corrections) ... -5.233 eV/atom
Formation enthalpy at 0 K ... -0.515 eV per atom

The structure in extended XYZ format:
```
4
Lattice="4.740 0.000 0.000 2.370 4.105 0.000 2.370 1.368 3.870" Properties=species:S:1:pos:R:3 pbc="T T T"
Pm 4.740 2.737 1.935
Ga 2.370 1.368 0.968
Al 0.000 0.000 0.000
Rh 7.110 4.105 2.903
```

=====

VASP calculation (PBE) on HoGa4Ni6 after structural relaxation.

Computed properties:
ρ ... 8.6 g/cm³
Crystal system ... hexagonal
Symmetry ... P-6m2
Size of the total moment ... 0.00 μB per formula unit
Total DFT energy (no corrections) ... -5.110 eV/atom
Formation enthalpy at 0 K ... -0.439 eV per atom

The structure in extended XYZ format:
```
11
Lattice="-2.839 2.129 1.342 -3.566 -1.160 -5.704 -0.634 -4.208 5.337" Properties=species:S:1:pos:R:3 pbc="T T T"
Ni -4.019 -2.958 1.556
Ga -4.664 -2.410 -0.678
Ni -2.658 -2.515 3.732
Ho 0.000 0.000 0.000
Ga -1.611 -3.192 1.657
Ni -2.416 -0.909 1.695
Ni -2.203 -2.577 -0.570
Ga -4.406 -0.698 -2.850
Ni -1.953 -0.916 -2.677
Ga -2.955 -0.226 -0.529
Ni -3.611 -3.035 -2.822
```